(1)
# Pr6Ge3Se14 GGA-PBE relaxed
# Formation energy without anion corrections = -1.3437 eV/atom
# Crystal system = trigonal
data_Pr6Ge3Se14
_cell_length_a 10.7866
_cell_length_b 10.7866
_cell_length_c 6.1124
_cell_angle_alpha 90.00
_cell_angle_beta 90.00
_cell_angle_gamma 120.00
_space_group_name_H-M_alt 'P 3'
_space_group_IT_number 143
loop_
_space_group_symop_operation_xyz
'x,y,z'
'-y,x-y,z'
'-x+y,-x,z'
loop_
_atom_site_label
_atom_site_type_symbol
_atom_site_fract_x
_atom_site_fract_y
_atom_site_fract_z
Pr1 Pr 0.0241 0.5634 0.0000
Pr2 Pr 0.3098 0.1033 0.5045
Ge1 Ge 0.0000 0.0000 0.9214
Ge2 Ge 0.3333 0.6667 0.4149
Ge3 Ge 0.6667 0.3333 0.2662
Se1 Se 0.0000 0.0000 0.3061
Se2 Se 0.0814 0.8493 0.7604
Se3 Se 0.1827 0.4345 0.2553
Se4 Se 0.3333 0.6667 0.7998
Se5 Se 0.4111 0.1704 0.0251
Se6 Se 0.5000 0.4234 0.5128

---

(2)
# Pr2GeSe4 GGA-PBE relaxed
# Formation energy without anion corrections = -1.1542 eV/atom
# Crystal system = tetragonal
# DOS(E_F) = 0.17 states/eV/atom
data_Pr2GeSe4
_cell_length_a 7.137
_cell_length_b 7.137
_cell_length_c 7.930
_cell_angle_alpha 90.00
_cell_angle_beta 90.00
_cell_angle_gamma 90.00
_space_group_name_H-M_alt 'I -4 2 m'
_space_group_IT_number 121
_space_group_name_Hall 'I -4 2'
loop_
_atom_site_label
_atom_site_type_symbol
_atom_site_fract_x
_atom_site_fract_y
_atom_site_fract_z
Pr1 Pr 0.000 0.500 0.250
Ge1 Ge 0.000 0.000 0.000
Se1 Se 0.239 0.239 0.556

---

| no. | energy (eV for the cell shown) |
| --- | --- |
| 1 | -122.217 |
| 2 | -72.387 |